No. 1
Computed, not measured: RbBiSb2Au4 after structural relaxation at the PBE level of DFT.

Cell: 5.0786 5.0786 8.4989 Å, 90.00 90.00 90.00°
Last column: nearest neighbours and their distance in Å.
Fractional coordinates of all 8 atoms:
1 Rb 0.0000 0.0000 0.5000  8 Au 3.69, 8 Sb 3.90
2 Bi 0.0000 0.0000 0.0000  8 Au 2.99
3 Sb 0.5000 0.5000 0.3196  4 Au 2.78, 1 Sb 3.07
4 Sb 0.5000 0.5000 0.6804  4 Au 2.78, 1 Sb 3.07
5 Au 0.0000 0.5000 0.1854  2 Sb 2.78, 2 Bi 2.99
6 Au 0.5000 0.0000 0.8146  2 Sb 2.78, 2 Bi 2.99
7 Au 0.5000 0.0000 0.1854  2 Sb 2.78, 2 Bi 2.99
8 Au 0.0000 0.5000 0.8146  2 Sb 2.78, 2 Bi 2.99

Calculated values
Uncorrected formation energy = -141.3 meV/atom
SG = P4/mmm, No. 123



No. 2
Computed, not measured: LiTaRe2 after structural relaxation at the PBE level of DFT.

Cell: 5.2278 5.2278 4.4615 Å, 64.74 64.74 34.19°
Last column: nearest neighbours and their distance in Å.
Fractional coordinates of all 4 atoms:
1 Li 0.2586 0.2586 0.2413  6 Re 2.71-2.72, 2 Ta 2.85
2 Re 0.0096 0.0096 0.9905  2 Re 2.58, 4 Ta 2.71, 2 Li 2.72
3 Re 0.7413 0.7413 0.7587  2 Re 2.58, 2 Ta 2.71, 4 Li 2.71
4 Ta 0.4904 0.4904 0.5095  6 Re 2.71, 2 Li 2.85

Calculated values
Excess energy over the best structure of this formula in the dataset = 65 meV/atom
ΔE_f = 167 meV/atom
SG = Imm2, No. 44



No. 3
Computed, not measured: Th3In5Ni2 after structural relaxation at the PBE level of DFT.

Cell: 6.7970 9.3348 9.3348 Å, 68.92 68.65 68.65°
Last column: nearest neighbours and their distance in Å.
Fractional coordinates of all 20 atoms:
1 Th 0.2500 0.0000 0.0000  4 Ni 2.79
2 Th 0.7500 0.0000 0.0000  4 Ni 2.79
3 Th 0.3291 0.4023 0.9394  2 Ni 3.08-3.28, 4 In 3.35-3.39
4 Th 0.6709 0.5977 0.0606  2 Ni 3.08-3.28, 4 In 3.35-3.39
5 Th 0.8291 0.9394 0.4023  2 Ni 3.08-3.28, 4 In 3.35-3.39
6 Th 0.1709 0.0606 0.5977  2 Ni 3.08-3.28, 4 In 3.35-3.39
7 In 0.2500 0.5000 0.5000  6 In 2.92-3.08
8 In 0.7500 0.5000 0.5000  6 In 2.92-3.08
9 In 0.5386 0.7114 0.7114  2 Ni 2.60
10 In 0.9614 0.2886 0.2886  2 Ni 2.60
11 In 0.4614 0.2886 0.2886  2 Ni 2.60
12 In 0.0386 0.7114 0.7114  2 Ni 2.60
13 In 0.0768 0.6447 0.2017  1 Ni 2.55
14 In 0.9232 0.3553 0.7983  1 Ni 2.55
15 In 0.5768 0.2017 0.6447  1 Ni 2.55
16 In 0.4232 0.7983 0.3553  1 Ni 2.55
17 Ni 0.1535 0.7875 0.9054  3 In 2.55-2.60, 2 Th 2.79
18 Ni 0.8465 0.2125 0.0946  3 In 2.55-2.60, 2 Th 2.79
19 Ni 0.6535 0.9054 0.7875  3 In 2.55-2.60, 2 Th 2.79
20 Ni 0.3465 0.0946 0.2125  3 In 2.55-2.60, 2 Th 2.79

Calculated values
ΔE_f = -202 meV/atom
SG = Ibam, No. 72



Number 1: spin magnetization 0.000 μB per formula unit. Number 2: spin magnetization 0.000 μB per formula unit. Number 3: spin magnetization 0.000 μB per formula unit.